# Lu2BSe

Lu2BSe after structural relaxation (GGA-PBE, the Alexandria database).

Cell: 3.7238 3.7238 7.0291 Å, 74.64 74.64 60.00°
Atoms (fractional coordinates):
Lu 0.2609 0.2609 0.2173
Se 0.5000 0.5000 0.5000
Lu 0.7391 0.7391 0.7827
B 0.0000 0.0000 0.0000

## Properties
The value obtained for the total magnetic moment is 0.0 μB/f.u. The space group is R-3m. The uncorrected formation energy is -0.94 eV per atom.



# SmLuB4

SmLuB4 after structural relaxation (GGA-PBE, the Alexandria database).

Cell: 4.7762 4.7762 4.7762 Å, 60.00 60.00 60.00°
Atoms (fractional coordinates):
B 0.6575 0.6575 0.6575
Lu 0.0000 0.0000 0.0000
B 0.0276 0.6575 0.6575
B 0.6575 0.0276 0.6575
B 0.6575 0.6575 0.0276
Sm 0.2500 0.2500 0.2500

## Properties
The value obtained for the total magnetic moment is 0.0 μB/f.u. As for the energy of formation: 0.33 eV per atom. The space group is F-43m.